## NaMnFe2F8 (PBE+U)

Data for a relaxed NaMnFe2F8 crystal.

abc: 4.9413 4.9714 6.4571
angles: 90.00 90.00 88.09
Last column: magnetic moment on the atom in μB.
Fractional positions:
F 0.6795 0.6771 0.5000  0.09
F 0.2155 0.7863 0.7651  0.07
F 0.3094 0.3120 0.0000  0.08
F 0.3205 0.3229 0.5000  0.09
F 0.2155 0.7863 0.2349  0.07
F 0.7845 0.2137 0.2349  0.07
F 0.6906 0.6880 0.0000  0.08
F 0.7845 0.2137 0.7651  0.07
Mn 0.0000 0.0000 0.0000  4.71
Na 0.0000 0.0000 0.5000  0.00
Fe 0.5000 0.5000 0.7496  4.20
Fe 0.5000 0.5000 0.2504  4.20

The calculation puts the electronic total energy at -0.2012 Ha/atom.